[1]
VASP calculation (PBE) on a relaxed TaV6Mo2 crystal.

## Properties
Formation enthalpy at 0 K: -0.06 eV/atom
D(E_F): 12.608 states/eV/cell
Energy above the lowest structure with this stoichiometry: 0 meV per atom

a = 3.0772 Å, b = 5.0932 Å, c = 9.1365 Å
α = 74.95°, β = 80.31°, γ = 72.42°
Closest atoms and distances in Å follow each position.
Sites, in units of the cell vectors:
V  0.0075  0.3244  0.6606  6 V 2.60-2.70, 2 Mo 2.64
Mo  0.3256  0.1171  0.2316  6 V 2.59-2.64, 2 Ta 2.75
V  0.6624  0.2313  0.4439  6 V 2.60-2.72, 2 Mo 2.61
V  0.3376  0.7687  0.5561  6 V 2.60-2.72, 2 Mo 2.61
V  0.3301  0.4590  0.8807  2 Mo 2.59, 4 V 2.70-2.74, 2 Ta 2.72
V  0.9925  0.6756  0.3394  6 V 2.60-2.70, 2 Mo 2.64
Ta  0.0000  0.0000  0.0000  6 V 2.72-3.05, 4 Mo 2.75
V  0.6699  0.5410  0.1193  2 Mo 2.59, 4 V 2.70-2.74, 2 Ta 2.72
Mo  0.6744  0.8829  0.7684  6 V 2.59-2.64, 2 Ta 2.75

---

[2]
VASP calculation (PBE) on a relaxed GaMo2C crystal.

## Properties
Formation enthalpy at 0 K: 0.09 eV/atom
D(E_F): 8.323 states/eV/cell
Energy above the lowest structure with this stoichiometry: 214 meV per atom

a = 7.3173 Å, b = 3.0880 Å, c = 9.6344 Å
α = 90.00°, β = 97.82°, γ = 90.00°
Closest atoms and distances in Å follow each position.
Sites, in units of the cell vectors:
Ga  0.7515  0.0000  0.2552  6 Mo 2.68-2.83, 2 Ga 2.79
Mo  0.2812  0.5000  0.5646  4 C 2.17-2.21
Mo  0.1182  0.0000  0.3276  3 C 2.11-2.24
Ga  0.5821  0.0000  0.5334  7 Mo 2.73-2.92, 2 Ga 2.79
C  0.0627  0.0000  0.5503  1 C 1.50
Mo  0.4522  0.5000  0.3069  1 C 2.16
Ga  0.5821  0.5000  0.0334  7 Mo 2.73-2.92, 2 Ga 2.79
Mo  0.1182  0.5000  0.8276  3 C 2.11-2.24
Mo  0.2812  0.0000  0.0646  4 C 2.17-2.21
C  0.1779  0.0000  0.6915  1 C 1.50
Mo  0.8758  0.0000  0.9892  2 C 2.09
C  0.1779  0.5000  0.1915  1 C 1.50
Mo  0.4522  0.0000  0.8069  1 C 2.16
Mo  0.8758  0.5000  0.4892  2 C 2.09
C  0.0627  0.5000  0.0503  1 C 1.50
Ga  0.7515  0.5000  0.7552  6 Mo 2.68-2.83, 2 Ga 2.79

---

Q: Among the records above, which one has the lowest formation enthalpy at 0 K?
A: TaV6Mo2

---

Repeat the second record exactly.
VASP calculation (PBE) on a relaxed GaMo2C crystal.

## Properties
Formation enthalpy at 0 K: 0.09 eV/atom
D(E_F): 8.323 states/eV/cell
Energy above the lowest structure with this stoichiometry: 214 meV per atom

a = 7.3173 Å, b = 3.0880 Å, c = 9.6344 Å
α = 90.00°, β = 97.82°, γ = 90.00°
Closest atoms and distances in Å follow each position.
Sites, in units of the cell vectors:
Ga  0.7515  0.0000  0.2552  6 Mo 2.68-2.83, 2 Ga 2.79
Mo  0.2812  0.5000  0.5646  4 C 2.17-2.21
Mo  0.1182  0.0000  0.3276  3 C 2.11-2.24
Ga  0.5821  0.0000  0.5334  7 Mo 2.73-2.92, 2 Ga 2.79
C  0.0627  0.0000  0.5503  1 C 1.50
Mo  0.4522  0.5000  0.3069  1 C 2.16
Ga  0.5821  0.5000  0.0334  7 Mo 2.73-2.92, 2 Ga 2.79
Mo  0.1182  0.5000  0.8276  3 C 2.11-2.24
Mo  0.2812  0.0000  0.0646  4 C 2.17-2.21
C  0.1779  0.0000  0.6915  1 C 1.50
Mo  0.8758  0.0000  0.9892  2 C 2.09
C  0.1779  0.5000  0.1915  1 C 1.50
Mo  0.4522  0.0000  0.8069  1 C 2.16
Mo  0.8758  0.5000  0.4892  2 C 2.09
C  0.0627  0.5000  0.0503  1 C 1.50
Ga  0.7515  0.5000  0.7552  6 Mo 2.68-2.83, 2 Ga 2.79